An optimized crystal structure of NbRu2F2, computed with PBE-GGA.

Values from the calculation:
**Final energy**: -0.5136 Ry per atom
**DOS at the Fermi energy**: 4.31 states/eV/f.u.
**Raw formation energy**: -0.515 eV per atom
**Energy above the most stable polymorph in this dataset**: 0.00 eV per formula unit

a = 3.3429 Å, b = 3.3429 Å, c = 11.9784 Å
α = 90.00°, β = 90.00°, γ = 90.00°
Space group I4/mmm (No. 139)
One atom of each set of equivalent atoms:
Nb 0.0000 0.0000 0.0000 x2
Ru 0.0000 0.0000 0.3865 x4
F 0.0000 0.5000 0.2500 x4